# NiHg2 GGA-PBE relaxed
data_NiHg2
_cell_length_a 5.752
_cell_length_b 5.752
_cell_length_c 9.577
_cell_angle_alpha 90.00
_cell_angle_beta 90.00
_cell_angle_gamma 120.00
_symmetry_space_group_name_H-M 'P 1'
_symmetry_Int_Tables_number 1
loop_
_symmetry_equiv_pos_as_xyz
'x,y,z'
loop_
_atom_site_label
_atom_site_type_symbol
_atom_site_fract_x
_atom_site_fract_y
_atom_site_fract_z
Ni1 Ni 0.333 0.667 0.028
Ni2 Ni 0.333 0.667 0.472
Ni3 Ni 0.667 0.333 0.528
Ni4 Ni 0.667 0.333 0.972
Hg1 Hg 0.000 0.000 0.000
Hg2 Hg 0.000 0.000 0.500
Hg3 Hg 0.169 0.338 0.250
Hg4 Hg 0.169 0.831 0.250
Hg5 Hg 0.338 0.169 0.750
Hg6 Hg 0.662 0.831 0.250
Hg7 Hg 0.831 0.169 0.750
Hg8 Hg 0.831 0.662 0.750
# Energy of formation from the pure elements = 0.68 eV/atom
# SG = P6_3/mmc (194)

***

# AcDy3 GGA-PBE relaxed
data_AcDy3
_cell_length_a 5.164
_cell_length_b 5.164
_cell_length_c 5.164
_cell_angle_alpha 90.00
_cell_angle_beta 90.00
_cell_angle_gamma 90.00
_symmetry_space_group_name_H-M 'P 1'
_symmetry_Int_Tables_number 1
loop_
_symmetry_equiv_pos_as_xyz
'x,y,z'
loop_
_atom_site_label
_atom_site_type_symbol
_atom_site_fract_x
_atom_site_fract_y
_atom_site_fract_z
Ac1 Ac 0.000 0.000 0.000
Dy1 Dy 0.000 0.500 0.500
Dy2 Dy 0.500 0.000 0.500
Dy3 Dy 0.500 0.500 0.000
# Energy of formation from the pure elements = 0.06 eV/atom
# SG = Pm-3m (221)
# ΔE to the lowest computed polymorph = 0.04 eV/f.u.

***

The calculated density results, record by record, are as follows: 11.13 8.62 g cm⁻³.
The calculated total energy results, record by record, are as follows: -17.34 -17.68 eV/cell.